Record 1
This record from Alexandria via LeMat-Bulk describes a relaxed TlFe2I8 crystal. The functional is PBE.

Calculated values
**VASP energy**: -3.103 eV/atom
**Magnetic moment**: 9.0 μB per formula unit

a = 7.357 Å, b = 9.443 Å, c = 9.028 Å
α = 121.53°, β = 94.01°, γ = 90.00°
Fractional coordinates of all 11 atoms:
I (0.749, 0.886, 0.203)
I (0.251, 0.684, 0.797)
I (0.722, 0.826, 0.652)
I (0.278, 0.174, 0.348)
I (0.749, 0.316, 0.203)
I (0.251, 0.114, 0.797)
I (0.271, 0.661, 0.322)
I (0.729, 0.339, 0.678)
Tl (0.000, 0.000, 0.000)
Fe (0.374, 0.820, 0.640)
Fe (0.626, 0.180, 0.360)


Record 2
This record from Alexandria via LeMat-Bulk describes a relaxed Tl6Fe3I14 crystal. The functional is PBE.

Calculated values
**VASP energy**: -3.047 eV/atom
**Magnetic moment**: 1.0 μB per formula unit

a = 7.269 Å, b = 12.470 Å, c = 12.470 Å
α = 120.00°, β = 90.00°, γ = 90.00°
Fractional coordinates of all 23 atoms:
Tl (0.277, 0.804, 0.103)
Tl (0.277, 0.897, 0.701)
Tl (0.277, 0.299, 0.196)
Tl (0.720, 0.528, 0.560)
Tl (0.720, 0.440, 0.968)
Tl (0.720, 0.032, 0.472)
Fe (0.848, 0.000, 0.000)
Fe (0.323, 0.333, 0.667)
Fe (0.493, 0.667, 0.333)
I (0.969, 0.076, 0.222)
I (0.969, 0.778, 0.854)
I (0.969, 0.146, 0.924)
I (0.452, 0.248, 0.444)
I (0.452, 0.556, 0.804)
I (0.452, 0.196, 0.752)
I (0.492, 0.000, 0.000)
I (0.970, 0.333, 0.667)
I (0.702, 0.744, 0.208)
I (0.702, 0.792, 0.536)
I (0.702, 0.464, 0.256)
I (0.285, 0.592, 0.461)
I (0.285, 0.539, 0.131)
I (0.285, 0.869, 0.408)


Record 3
This record from Alexandria via LeMat-Bulk describes a relaxed TlFeI3 crystal. The functional is PBE.

Calculated values
**VASP energy**: -3.234 eV/atom
**Magnetic moment**: 0.1 μB per formula unit

a = 4.003 Å, b = 9.690 Å, c = 16.428 Å
α = 90.00°, β = 90.00°, γ = 90.00°
Fractional coordinates of all 20 atoms:
Tl (0.750, 0.058, 0.671)
Tl (0.750, 0.558, 0.829)
Tl (0.250, 0.942, 0.329)
Tl (0.250, 0.442, 0.171)
Fe (0.250, 0.149, 0.951)
Fe (0.750, 0.851, 0.049)
Fe (0.750, 0.351, 0.451)
Fe (0.250, 0.649, 0.549)
I (0.250, 0.186, 0.498)
I (0.750, 0.237, 0.303)
I (0.750, 0.984, 0.912)
I (0.750, 0.737, 0.197)
I (0.250, 0.516, 0.412)
I (0.250, 0.686, 0.002)
I (0.250, 0.016, 0.088)
I (0.750, 0.814, 0.502)
I (0.750, 0.314, 0.998)
I (0.750, 0.484, 0.588)
I (0.250, 0.763, 0.697)
I (0.250, 0.263, 0.803)


Record 4
This record from Alexandria via LeMat-Bulk describes a relaxed TlFe2I7 crystal. The functional is PBE.

Calculated values
**VASP energy**: -3.194 eV/atom
**Magnetic moment**: 8.0 μB per formula unit

a = 4.330 Å, b = 11.878 Å, c = 14.314 Å
α = 135.97°, β = 90.00°, γ = 90.00°
Fractional coordinates of all 10 atoms:
Tl (0.000, 0.000, 0.000)
Fe (0.500, 0.108, 0.322)
Fe (0.500, 0.892, 0.678)
I (0.000, 0.161, 0.455)
I (0.000, 0.839, 0.545)
I (0.500, 0.285, 0.280)
I (0.500, 0.715, 0.720)
I (0.500, 0.181, 0.917)
I (0.500, 0.819, 0.083)
I (0.500, 0.500, 0.000)


Record 5
This record from Alexandria via LeMat-Bulk describes a relaxed TlFeI4 crystal. The functional is PBE.

Calculated values
**VASP energy**: -3.176 eV/atom
**Magnetic moment**: 5.0 μB per formula unit

a = 8.931 Å, b = 9.272 Å, c = 9.272 Å
α = 76.59°, β = 61.21°, γ = 61.21°
Fractional coordinates of all 12 atoms:
Tl (0.000, 0.000, 0.000)
Tl (0.750, 0.500, 0.500)
Fe (0.250, 0.500, 0.500)
Fe (0.500, 0.000, 0.000)
I (0.599, 0.321, 0.321)
I (0.242, 0.679, 0.679)
I (0.671, 0.179, 0.821)
I (0.151, 0.179, 0.179)
I (0.671, 0.821, 0.179)
I (0.079, 0.321, 0.679)
I (0.508, 0.821, 0.821)
I (0.079, 0.679, 0.321)


Record 6
This record from Alexandria via LeMat-Bulk describes a relaxed TlFeW2I crystal. The functional is PBE.

Calculated values
**VASP energy**: -6.127 eV/atom
**Magnetic moment**: 1.2 μB per formula unit

a = 4.644 Å, b = 4.979 Å, c = 4.644 Å
α = 90.00°, β = 90.00°, γ = 90.00°
Fractional coordinates of all 5 atoms:
I (0.500, 0.500, 0.500)
Tl (0.000, 0.500, 0.000)
Fe (0.000, 0.000, 0.000)
W (0.000, 0.000, 0.500)
W (0.500, 0.000, 0.000)


Record 7
This record from Alexandria via LeMat-Bulk describes a relaxed TlZnFe2I8 crystal. The functional is PBE.

Calculated values
**VASP energy**: -3.027 eV/atom
**Magnetic moment**: 9.0 μB per formula unit

a = 7.209 Å, b = 7.209 Å, c = 10.107 Å
α = 86.54°, β = 86.54°, γ = 70.06°
Fractional coordinates of all 12 atoms:
Tl (0.000, 0.000, 0.500)
Zn (0.000, 0.000, 0.000)
Fe (0.627, 0.627, 0.221)
Fe (0.373, 0.373, 0.779)
I (0.759, 0.256, 0.789)
I (0.762, 0.762, 0.008)
I (0.708, 0.708, 0.447)
I (0.292, 0.292, 0.553)
I (0.238, 0.238, 0.992)
I (0.256, 0.759, 0.789)
I (0.744, 0.241, 0.211)
I (0.241, 0.744, 0.211)


Record 8
This record from Alexandria via LeMat-Bulk describes a relaxed TmFeI crystal. The functional is PBE.

Calculated values
**VASP energy**: -5.533 eV/atom
**Magnetic moment**: 1.0 μB per formula unit

a = 3.929 Å, b = 3.929 Å, c = 12.481 Å
α = 80.94°, β = 80.94°, γ = 60.00°
Fractional coordinates of all 6 atoms:
Tm (0.551, 0.551, 0.346)
Tm (0.449, 0.449, 0.654)
I (0.276, 0.276, 0.172)
I (0.724, 0.724, 0.828)
Fe (0.834, 0.834, 0.497)
Fe (0.166, 0.166, 0.503)


Record 9
This record from Alexandria via LeMat-Bulk describes a relaxed Tm7FeI12 crystal. The functional is PBE.

Calculated values
**VASP energy**: -4.052 eV/atom
**Magnetic moment**: 1.1 μB per formula unit

a = 10.787 Å, b = 9.663 Å, c = 9.663 Å
α = 107.00°, β = 111.85°, γ = 111.85°
Fractional coordinates of all 20 atoms:
Tm (0.090, 0.806, 0.070)
Tm (0.979, 0.070, 0.264)
Tm (0.715, 0.736, 0.806)
Tm (0.500, 0.000, 0.000)
Tm (0.285, 0.264, 0.194)
Tm (0.021, 0.930, 0.736)
Tm (0.910, 0.194, 0.930)
Fe (0.000, 0.000, 0.000)
I (0.224, 0.545, 0.152)
I (0.928, 0.152, 0.606)
I (0.614, 0.775, 0.077)
I (0.463, 0.077, 0.301)
I (0.322, 0.394, 0.545)
I (0.161, 0.699, 0.775)
I (0.839, 0.301, 0.225)
I (0.678, 0.606, 0.455)
I (0.537, 0.923, 0.699)
I (0.386, 0.225, 0.923)
I (0.072, 0.848, 0.394)
I (0.776, 0.455, 0.848)


Record 10
This record from Alexandria via LeMat-Bulk describes a relaxed Tm4FeI5 crystal. The functional is PBE.

Calculated values
**VASP energy**: -4.311 eV/atom
**Magnetic moment**: 0.0 μB per formula unit

a = 3.994 Å, b = 8.839 Å, c = 11.109 Å
α = 89.64°, β = 100.36°, γ = 90.00°
Fractional coordinates of all 10 atoms:
Tm (0.389, 0.002, 0.777)
Tm (0.000, 0.797, 0.000)
Tm (0.611, 0.998, 0.223)
Tm (0.000, 0.203, 0.000)
Fe (0.500, 0.000, 0.000)
I (0.851, 0.754, 0.702)
I (0.851, 0.250, 0.702)
I (0.149, 0.750, 0.298)
I (0.500, 0.500, 0.000)
I (0.149, 0.246, 0.298)


Record 11
This record from Alexandria via LeMat-Bulk describes a relaxed TmFe2I8 crystal. The functional is PBE.

Calculated values
**VASP energy**: -3.645 eV/atom
**Magnetic moment**: 8.9 μB per formula unit

a = 7.917 Å, b = 7.917 Å, c = 10.161 Å
α = 104.12°, β = 104.12°, γ = 102.50°
Fractional coordinates of all 11 atoms:
I (0.226, 0.885, 0.805)
I (0.115, 0.774, 0.195)
I (0.236, 0.236, 0.560)
I (0.764, 0.764, 0.440)
I (0.885, 0.226, 0.805)
I (0.774, 0.115, 0.195)
I (0.309, 0.309, 0.183)
I (0.691, 0.691, 0.817)
Tm (0.000, 0.000, 0.000)
Fe (0.979, 0.979, 0.353)
Fe (0.021, 0.021, 0.647)


Record 12
This record from Alexandria via LeMat-Bulk describes a relaxed UFe2I8 crystal. The functional is PBE.

Calculated values
**VASP energy**: -4.129 eV/atom
**Magnetic moment**: 6.0 μB per formula unit

a = 6.935 Å, b = 8.723 Å, c = 8.723 Å
α = 80.92°, β = 91.34°, γ = 91.34°
Fractional coordinates of all 11 atoms:
I (0.766, 0.901, 0.288)
I (0.234, 0.712, 0.099)
I (0.723, 0.815, 0.815)
I (0.277, 0.185, 0.185)
I (0.766, 0.288, 0.901)
I (0.234, 0.099, 0.712)
I (0.231, 0.632, 0.632)
I (0.769, 0.368, 0.368)
U (0.000, 0.000, 0.000)
Fe (0.337, 0.814, 0.814)
Fe (0.663, 0.186, 0.186)